# Y2In3Mo4C3

A relaxed structure of Y2In3Mo4C3 (PBE, the Open Quantum Materials Database).

abc: 5.716 5.716 14.472
angles: 101.75 101.75 60.33
Positions (direct):
Y1 0.039 0.881 0.612
Y2 0.119 0.961 0.888
Y3 0.881 0.039 0.112
Y4 0.961 0.119 0.388
In1 0.085 0.389 0.752
In2 0.389 0.085 0.252
In3 0.445 0.555 0.250
In4 0.555 0.445 0.750
In5 0.611 0.915 0.748
In6 0.915 0.611 0.248
Mo1 0.192 0.344 0.069
Mo2 0.297 0.487 0.431
Mo3 0.344 0.192 0.569
Mo4 0.487 0.297 0.931
Mo5 0.513 0.703 0.069
Mo6 0.656 0.808 0.431
Mo7 0.703 0.513 0.569
Mo8 0.808 0.656 0.931
C1 0.000 0.500 0.500
C2 0.172 0.656 0.000
C3 0.344 0.828 0.500
C4 0.500 0.000 0.000
C5 0.656 0.172 0.500
C6 0.828 0.344 0.000

Calculated values
Size of the total moment, μB/f.u.: 0.0
Space group: C2/c (15)
Total energy, eV per formula unit: -95.31